The following is a PBE calculation of a geometry-optimized Ti2NiRhC structure, from Alexandria. Values from VASP.

```
&SYSTEM
  ibrav = 0, nat = 5, ntyp = 4
/
ATOMIC_SPECIES
Ti 47.87 Ti.upf
C 12.01 C.upf
Ni 58.69 Ni.upf
Rh 102.91 Rh.upf
ATOMIC_POSITIONS angstrom
Ti -0.439 -1.902 -0.960
Ti -0.695 -0.798 1.900
C 0.927 -3.407 1.397
Ni 0.000 0.000 0.000
Rh 2.061 -0.706 0.457
CELL_PARAMETERS angstrom
-1.390 -1.597 3.800
-0.878 -3.804 -1.919
4.122 -1.413 0.914
```

* E_form: 1487.5 meV per atom
* calculated total energy: -30.7 eV per cell

=====

The following is a PBE calculation of a geometry-optimized TbSc4Cd structure, from Alexandria. Values from VASP.

```
&SYSTEM
  ibrav = 0, nat = 12, ntyp = 3
/
ATOMIC_SPECIES
Tb 158.93 Tb.upf
Sc 44.96 Sc.upf
Cd 112.41 Cd.upf
ATOMIC_POSITIONS angstrom
Tb -0.343 -1.267 -2.523
Tb -4.748 -4.856 0.003
Sc -6.647 -11.816 -2.519
Sc -6.636 -5.604 -2.542
Sc -7.518 -8.723 -2.886
Sc -3.546 -6.643 -2.497
Sc -2.664 -3.524 -2.154
Sc -5.660 -7.953 -0.430
Sc -3.535 -0.431 -2.520
Sc -4.522 -4.293 -4.609
Cd -4.324 -9.690 -2.948
Cd -5.858 -2.556 -2.092
CELL_PARAMETERS angstrom
-5.089 0.094 -2.538
-0.687 -2.534 -5.045
-4.406 -9.806 2.544
```

* E_form: -3.6 meV per atom
* offset from the most stable computed form: 0.0585 eV/atom
* calculated total energy: -61.8 eV per cell

=====

The following is a PBE calculation of a geometry-optimized ZrFeCl6 structure, from Alexandria. Values from VASP.

```
&SYSTEM
  ibrav = 0, nat = 16, ntyp = 3
/
ATOMIC_SPECIES
Cl 35.45 Cl.upf
Zr 91.22 Zr.upf
Fe 55.84 Fe.upf
ATOMIC_POSITIONS angstrom
Cl -4.000 -5.040 10.746
Cl 2.819 -3.715 0.848
Cl -0.398 -2.324 1.408
Cl -0.206 -3.651 7.828
Cl 1.533 -2.619 4.128
Cl -1.114 -2.988 10.982
Cl -0.783 -6.430 10.185
Cl -2.715 -6.135 7.465
Cl -0.976 -5.103 3.766
Cl -3.622 -2.802 8.282
Cl 2.440 -5.952 3.311
Cl -0.068 -5.766 0.611
Zr -2.073 -4.508 9.248
Zr 0.892 -4.246 2.345
Fe 0.739 -2.143 9.561
Fe 0.246 -0.714 3.187
CELL_PARAMETERS angstrom
-6.271 -1.197 0.217
4.103 -4.700 -1.371
0.986 -2.857 12.747
```

* energy relative to the elements, uncorrected: -31.4 kcal/mol of atoms
* offset from the most stable computed form: 0.0000 eV/atom
* calculated total energy: -77.9 eV per cell

=====

The following is a PBE calculation of a geometry-optimized Sm5CdIn6 structure, from Alexandria. Values from VASP.

```
&SYSTEM
  ibrav = 0, nat = 12, ntyp = 3
/
ATOMIC_SPECIES
In 114.82 In.upf
Sm 150.36 Sm.upf
Cd 112.41 Cd.upf
ATOMIC_POSITIONS angstrom
In -5.008 2.734 -1.654
In -2.292 -6.599 1.462
In -5.820 -1.009 0.628
In -2.656 -0.960 1.914
In -3.469 -4.703 4.197
In -1.488 -2.895 -0.797
Sm -5.427 -1.834 3.849
Sm -0.820 -3.777 2.303
Sm -3.049 -0.135 -1.307
Sm -4.123 -3.805 1.082
Sm -4.353 1.836 1.461
Cd 0.000 0.000 0.000
CELL_PARAMETERS angstrom
-2.140 -1.939 -3.942
-1.640 -7.555 4.606
-4.696 7.524 1.878
```

* E_form: -425.1 meV per atom
* calculated total energy: -46.0 eV per cell

=====

The following is a PBE calculation of a geometry-optimized Ag2PbF5 structure, from Alexandria. Values from VASP.

```
&SYSTEM
  ibrav = 0, nat = 32, ntyp = 3
/
ATOMIC_SPECIES
F 19.00 F.upf
Ag 107.87 Ag.upf
Pb 207.20 Pb.upf
ATOMIC_POSITIONS angstrom
F 5.077 1.383 6.292
F 4.900 7.832 7.141
F 1.546 5.554 5.620
F 1.778 4.332 2.781
F 1.062 2.827 11.076
F 2.097 7.607 8.804
F 1.918 2.498 5.169
F 3.863 1.055 0.385
F 4.182 4.330 6.408
F 4.041 7.503 1.234
F 4.414 3.108 3.569
F 4.526 3.436 9.476
F 0.883 7.278 2.897
F 1.060 0.830 2.047
F 4.758 4.001 0.501
F 1.202 4.661 8.688
F 1.434 5.225 -0.287
F 1.920 1.158 7.954
F 4.898 5.835 -1.888
F 4.042 6.164 4.019
Ag 2.910 7.121 -0.720
Ag 3.050 1.541 9.909
Ag 5.692 5.576 1.942
Ag 3.248 5.904 7.849
Ag 0.070 7.450 5.187
Ag 5.890 1.212 4.002
Ag 2.712 2.757 1.340
Ag 0.268 3.086 7.247
Pb 0.000 0.000 0.000
Pb 2.980 4.331 4.594
Pb 2.980 0.329 5.907
Pb 0.000 4.002 -1.313
CELL_PARAMETERS angstrom
5.960 0.000 0.000
0.000 8.005 -2.625
0.000 0.657 11.814
```

* energy relative to the elements, uncorrected: -35.7 kcal/mol of atoms
* calculated total energy: -124.7 eV per cell

=====

The following is a PBE calculation of a geometry-optimized Na2TaIr structure, from Alexandria. Values from VASP.

```
&SYSTEM
  ibrav = 0, nat = 4, ntyp = 3
/
ATOMIC_SPECIES
Na 22.99 Na.upf
Ir 192.22 Ir.upf
Ta 180.95 Ta.upf
ATOMIC_POSITIONS angstrom
Na 1.650 1.650 1.650
Na 4.951 4.951 4.951
Ir 3.300 3.300 3.300
Ta 0.000 0.000 0.000
CELL_PARAMETERS angstrom
0.000 3.300 3.300
3.300 0.000 3.300
3.300 3.300 0.000
```

* E_form: 1375.5 meV per atom
* offset from the most stable computed form: 0.2617 eV/atom
* calculated total energy: -17.8 eV per cell

=====

The following is a PBE calculation of a geometry-optimized IrW3Br structure, from Alexandria. Values from VASP.

```
&SYSTEM
  ibrav = 0, nat = 5, ntyp = 3
/
ATOMIC_SPECIES
W 183.84 W.upf
Ir 192.22 Ir.upf
Br 79.90 Br.upf
ATOMIC_POSITIONS angstrom
W 2.264 0.000 0.000
W 0.000 0.000 2.264
W 0.000 2.264 0.000
Ir 2.264 2.264 2.264
Br 0.000 0.000 0.000
CELL_PARAMETERS angstrom
4.528 0.000 0.000
0.000 4.528 0.000
0.000 0.000 4.528
```

* energy relative to the elements, uncorrected: 52.3 kcal/mol of atoms
* offset from the most stable computed form: 0.0954 eV/atom
* calculated total energy: -38.0 eV per cell

=====

The following is a PBE calculation of a geometry-optimized BaLi2CdCl structure, from Alexandria. Values from VASP.

```
&SYSTEM
  ibrav = 0, nat = 5, ntyp = 4
/
ATOMIC_SPECIES
Cd 112.41 Cd.upf
Li 6.94 Li.upf
Cl 35.45 Cl.upf
Ba 137.33 Ba.upf
ATOMIC_POSITIONS angstrom
Cd 0.000 3.481 0.000
Li 3.430 0.000 0.000
Li 0.000 0.000 3.430
Cl 3.430 3.481 3.430
Ba 0.000 0.000 0.000
CELL_PARAMETERS angstrom
6.860 0.000 0.000
0.000 6.962 0.000
0.000 0.000 6.860
```

* energy relative to the elements, uncorrected: 10.8 kcal/mol of atoms
* calculated total energy: -6.2 eV per cell

=====

The following is a PBE calculation of a geometry-optimized Tm8SnRu2 structure, from Alexandria. Values from VASP.

```
&SYSTEM
  ibrav = 0, nat = 11, ntyp = 3
/
ATOMIC_SPECIES
Tm 168.93 Tm.upf
Ru 101.07 Ru.upf
Sn 118.71 Sn.upf
ATOMIC_POSITIONS angstrom
Tm 4.757 0.229 3.617
Tm 2.856 5.886 -2.472
Tm 1.966 4.545 3.491
Tm 1.193 2.286 0.812
Tm 0.953 5.432 0.157
Tm 0.179 3.509 6.479
Tm 2.892 1.839 6.460
Tm 4.178 2.824 1.798
Ru 3.429 3.973 -0.642
Ru 2.047 1.840 3.640
Sn -0.213 6.226 5.299
CELL_PARAMETERS angstrom
4.947 0.066 -1.484
-0.897 6.274 -2.710
-0.011 0.091 8.966
```

* E_form: -317.0 meV per atom
* offset from the most stable computed form: 0.0253 eV/atom
* calculated total energy: -61.8 eV per cell

=====

The following is a PBE calculation of a geometry-optimized BaZn3As3 structure, from Alexandria. Values from VASP.

```
&SYSTEM
  ibrav = 0, nat = 14, ntyp = 3
/
ATOMIC_SPECIES
As 74.92 As.upf
Zn 65.41 Zn.upf
Ba 137.33 Ba.upf
ATOMIC_POSITIONS angstrom
As -4.396 -4.543 -0.308
As -0.144 -3.919 -0.169
As 0.138 -1.729 3.521
As 1.477 -5.662 2.412
As -3.442 -1.496 1.151
As -2.826 -1.701 5.402
Zn -5.401 -3.006 1.362
Zn -0.534 -2.587 5.752
Zn 1.144 -3.267 1.851
Zn 0.189 -6.314 0.392
Zn -2.437 -3.033 -0.519
Zn -2.154 -0.844 3.171
Ba -2.298 -4.763 3.002
Ba 0.000 0.000 0.000
CELL_PARAMETERS angstrom
-1.909 -6.095 -2.918
3.241 -3.487 5.162
-5.930 0.056 3.761
```

* E_form: -471.4 meV per atom
* offset from the most stable computed form: 0.0000 eV/atom
* calculated total energy: -46.0 eV per cell

=====

The following is a PBE calculation of a geometry-optimized Ce4Pr3Os4 structure, from Alexandria. Values from VASP.

```
&SYSTEM
  ibrav = 0, nat = 11, ntyp = 3
/
ATOMIC_SPECIES
Ce 140.12 Ce.upf
Os 190.23 Os.upf
Pr 140.91 Pr.upf
ATOMIC_POSITIONS angstrom
Ce -2.522 -4.626 0.544
Ce -1.535 -2.900 -2.379
Ce -4.387 -2.319 1.853
Ce 0.330 -5.207 -3.688
Os 2.465 -4.033 -4.582
Os -0.043 -4.895 -0.753
Os -0.267 -0.653 -2.664
Os -4.014 -2.631 -1.081
Pr -1.079 -1.085 0.374
Pr -2.978 -6.441 -2.209
Pr 2.164 -2.677 -1.519
CELL_PARAMETERS angstrom
-2.130 0.667 -4.209
4.327 -5.353 -3.038
-6.255 -2.839 5.411
```

* E_form: -105.3 meV per atom
* calculated total energy: -84.2 eV per cell

=====

The following is a PBE calculation of a geometry-optimized ZnPPbS2 structure, from Alexandria. Values from VASP.

```
&SYSTEM
  ibrav = 0, nat = 5, ntyp = 4
/
ATOMIC_SPECIES
S 32.06 S.upf
Zn 65.41 Zn.upf
P 30.97 P.upf
Pb 207.20 Pb.upf
ATOMIC_POSITIONS angstrom
S 2.445 0.000 0.000
S 0.000 2.445 0.000
Zn 0.000 0.000 0.000
P 0.000 0.000 2.273
Pb 2.445 2.445 2.273
CELL_PARAMETERS angstrom
4.889 0.000 0.000
0.000 4.889 0.000
0.000 0.000 4.546
```

* energy relative to the elements, uncorrected: 7.1 kcal/mol of atoms
* offset from the most stable computed form: 0.0000 eV/atom
* calculated total energy: -17.1 eV per cell

=====

The following is a PBE calculation of a geometry-optimized SnHSe structure, from Alexandria. Values from VASP.

```
&SYSTEM
  ibrav = 0, nat = 12, ntyp = 3
/
ATOMIC_SPECIES
H 1.01 H.upf
Sn 118.71 Sn.upf
Se 78.96 Se.upf
ATOMIC_POSITIONS angstrom
H 0.748 -2.899 0.215
H 6.180 -5.685 5.230
H 2.927 -1.001 0.662
H 4.646 -4.611 7.477
Sn 3.789 -2.355 1.820
Sn 3.757 -3.384 6.204
Sn 5.508 -5.965 8.635
Sn 2.039 0.226 -0.611
Se 1.538 -4.038 1.325
Se 6.971 -6.824 6.340
Se -0.034 -1.722 -0.858
Se 5.399 -4.508 4.157
CELL_PARAMETERS angstrom
-0.689 -3.176 -2.878
3.714 0.824 -1.799
7.151 -6.396 11.830
```

* calculated total energy: -44.8 eV per cell

=====

The following is a PBE calculation of a geometry-optimized Ta2TiMo2W6 structure, from Alexandria. Values from VASP.

```
&SYSTEM
  ibrav = 0, nat = 11, ntyp = 4
/
ATOMIC_SPECIES
Ti 47.87 Ti.upf
W 183.84 W.upf
Ta 180.95 Ta.upf
Mo 95.94 Mo.upf
ATOMIC_POSITIONS angstrom
Ti 0.000 0.000 0.000
W 9.529 5.502 5.229
W 1.360 0.785 2.341
W 2.722 3.145 2.341
W 4.085 0.785 2.341
W 8.167 3.142 5.229
W 6.804 5.502 5.229
Ta 5.444 3.143 7.475
Ta 5.444 3.143 0.095
Mo 5.444 3.143 4.961
Mo 5.444 3.143 2.609
CELL_PARAMETERS angstrom
5.444 0.000 0.000
2.722 4.715 0.000
2.722 1.572 7.570
```

* E_form: 708.9 meV per atom
* calculated total energy: -123.2 eV per cell

=====

The following is a PBE calculation of a geometry-optimized CePu2Co9 structure, from Alexandria. Values from VASP.

```
&SYSTEM
  ibrav = 0, nat = 12, ntyp = 3
/
ATOMIC_SPECIES
Co 58.93 Co.upf
Pu 244.00 Pu.upf
Ce 140.12 Ce.upf
ATOMIC_POSITIONS angstrom
Co -2.008 -6.503 0.134
Co -0.493 -4.653 -0.472
Co 0.425 -6.969 -0.228
Co 1.921 -7.567 1.688
Co -2.768 -4.743 -1.413
Co 2.858 -7.435 -0.589
Co 3.618 -9.195 0.957
Co 1.343 -9.285 0.016
Co -1.071 -6.372 -2.144
Pu 2.343 -4.970 0.677
Pu -1.493 -8.968 -1.133
Ce 0.000 0.000 0.000
CELL_PARAMETERS angstrom
-3.016 -3.683 1.205
-1.150 -3.421 -3.330
5.015 -6.833 1.669
```

* E_form: -154.4 meV per atom
* calculated total energy: -100.4 eV per cell

=====

The following is a PBE calculation of a geometry-optimized Dy2PuRu structure, from Alexandria. Values from VASP.

```
&SYSTEM
  ibrav = 0, nat = 4, ntyp = 3
/
ATOMIC_SPECIES
Dy 162.50 Dy.upf
Ru 101.07 Ru.upf
Pu 244.00 Pu.upf
ATOMIC_POSITIONS angstrom
Dy 1.709 0.987 7.259
Dy 5.128 2.961 3.333
Ru 3.419 1.974 5.296
Pu 0.000 0.000 0.000
CELL_PARAMETERS angstrom
3.419 0.000 0.000
1.709 2.961 0.000
1.709 0.987 10.592
```

* E_form: 194.9 meV per atom
* offset from the most stable computed form: 0.4233 eV/atom
* calculated total energy: -32.0 eV per cell

=====

The following is a PBE calculation of a geometry-optimized Ce4Th4In3 structure, from Alexandria. Values from VASP.

```
&SYSTEM
  ibrav = 0, nat = 11, ntyp = 3
/
ATOMIC_SPECIES
Ce 140.12 Ce.upf
In 114.82 In.upf
Th 232.04 Th.upf
ATOMIC_POSITIONS angstrom
Ce 3.354 14.705 14.825
Ce 0.887 10.499 11.235
Ce 1.507 0.626 2.874
Ce 3.974 4.832 6.464
In 4.126 11.482 10.983
In 0.735 3.849 6.716
In 0.000 0.000 0.000
Th 1.618 7.132 7.368
Th 3.243 8.199 10.330
Th 1.733 13.649 11.865
Th 3.128 1.682 5.834
CELL_PARAMETERS angstrom
-1.684 -0.179 3.160
3.924 -1.455 2.008
2.621 16.965 12.530
```

* E_form: -131.3 meV per atom
* calculated total energy: -63.1 eV per cell

=====

The following is a PBE calculation of a geometry-optimized Rh3WN structure, from Alexandria. Values from VASP.

```
&SYSTEM
  ibrav = 0, nat = 5, ntyp = 3
/
ATOMIC_SPECIES
Rh 102.91 Rh.upf
N 14.01 N.upf
W 183.84 W.upf
ATOMIC_POSITIONS angstrom
Rh 0.000 2.365 0.000
Rh 2.365 0.000 0.000
Rh 0.000 0.000 2.365
N 2.365 2.365 2.365
W 0.000 0.000 0.000
CELL_PARAMETERS angstrom
4.731 0.000 0.000
0.000 4.731 0.000
0.000 0.000 4.731
```

* energy relative to the elements, uncorrected: 52.0 kcal/mol of atoms
* offset from the most stable computed form: 1.7179 eV/atom
* calculated total energy: -32.1 eV per cell

=====

The following is a PBE calculation of a geometry-optimized CdReNF2 structure, from Alexandria. Values from VASP.

```
&SYSTEM
  ibrav = 0, nat = 5, ntyp = 4
/
ATOMIC_SPECIES
N 14.01 N.upf
F 19.00 F.upf
Cd 112.41 Cd.upf
Re 186.21 Re.upf
ATOMIC_POSITIONS angstrom
N 2.267 -0.038 0.541
F -0.467 -0.696 1.907
F -0.130 1.963 0.684
Cd 0.000 0.000 0.000
Re 1.670 1.229 3.133
CELL_PARAMETERS angstrom
-0.261 3.926 1.368
-0.934 -1.391 3.814
4.534 -0.076 1.083
```

* energy relative to the elements, uncorrected: 15.4 kcal/mol of atoms
* offset from the most stable computed form: 1.1521 eV/atom
* calculated total energy: -22.1 eV per cell

=====

The following is a PBE calculation of a geometry-optimized Hf5Tc6 structure, from Alexandria. Values from VASP.

```
&SYSTEM
  ibrav = 0, nat = 11, ntyp = 2
/
ATOMIC_SPECIES
Tc 98.00 Tc.upf
Hf 178.49 Hf.upf
ATOMIC_POSITIONS angstrom
Tc -2.542 0.516 1.047
Tc -4.371 -2.326 -1.979
Tc -0.223 -3.774 3.790
Tc -1.594 -2.205 -0.306
Tc -3.000 -3.895 2.117
Tc -5.299 0.396 -0.613
Hf -1.377 -1.554 2.399
Hf -3.217 -4.546 -0.588
Hf -2.762 -0.121 -1.664
Hf -4.148 -1.751 0.754
Hf -0.447 -4.349 1.057
CELL_PARAMETERS angstrom
-2.317 1.153 3.762
-5.525 -0.241 -3.328
3.247 -7.012 1.377
```

* E_form: -52.0 meV per atom
* calculated total energy: -112.5 eV per cell